{"formula": "NaLi2Ca2", "functional": "GGA-PBEsol", "state": "relaxed", "delta_e_f_mev_per_atom": 58, "volume_a3_per_atom": 32.08, "crystal_system": "tetragonal", "total_energy_ev_per_atom": -1.862, "cell": [[8.091, 0.000, 0.000], [0.000, 8.091, 0.000], [0.000, 0.000, 4.901]], "species": ["Na", "Na", "Li", "Li", "Li", "Li", "Ca", "Ca", "Ca", "Ca"], "frac_coords": [[0.000, 0.000, 0.000], [0.500, 0.500, 0.000], [0.125, 0.375, 0.000], [0.375, 0.875, 0.000], [0.625, 0.125, 0.000], [0.875, 0.625, 0.000], [0.171, 0.671, 0.500], [0.329, 0.171, 0.500], [0.671, 0.829, 0.500], [0.829, 0.329, 0.500]]}

***

{"formula": "TlRuSe4", "functional": "GGA-PBEsol", "state": "relaxed", "volume_a3_per_atom": 21.22, "crystal_system": "cubic", "total_energy_ev_per_atom": -3.825, "raw_formation_energy_ev_per_atom": 0.88, "cell": [[0.000, 3.993, 3.993], [3.993, 0.000, 3.993], [3.993, 3.993, 0.000]], "species": ["Tl", "Ru", "Se", "Se", "Se", "Se"], "frac_coords": [[0.000, 0.000, 0.000], [0.250, 0.250, 0.250], [0.128, 0.624, 0.624], [0.624, 0.128, 0.624], [0.624, 0.624, 0.128], [0.624, 0.624, 0.624]]}

***

{"formula": "KAl2B", "functional": "GGA-PBEsol", "state": "relaxed", "delta_e_f_mev_per_atom": 571, "volume_a3_per_atom": 25.92, "crystal_system": "cubic", "total_energy_ev_per_atom": -3.512, "polymorph_energy_kj_per_mol_atoms": 0.0, "cell": [[0.000, 4.698, 4.698], [4.698, 0.000, 4.698], [4.698, 4.698, 0.000]], "species": ["K", "K", "Al", "Al", "Al", "Al", "B", "B"], "frac_coords": [[0.125, 0.125, 0.125], [0.875, 0.875, 0.875], [0.000, 0.500, 0.500], [0.500, 0.000, 0.500], [0.500, 0.500, 0.000], [0.500, 0.500, 0.500], [0.375, 0.375, 0.375], [0.625, 0.625, 0.625]]}